6
Lattice="3.388 0.000 0.000 0.000 3.388 0.000 0.000 0.000 13.509" Properties=species:S:1:pos:R:3 comment="PBE ErPuAg, relaxed" e_form_ev_per_atom=0.014 de_polymorph_mev_per_atom=71.8 sg="I4mm (107)" vol_a3_per_cell=155.1 dft_energy_ev_per_atom=-7.235 pbc="T T T"
Er 0.000 0.000 0.000
Er 1.694 1.694 6.755
Pu 0.000 0.000 9.377
Pu 1.694 1.694 2.622
Ag 0.000 0.000 4.816
Ag 1.694 1.694 11.571

=====

10
Lattice="6.505 0.000 0.000 0.000 6.505 0.000 0.000 0.000 2.713" Properties=species:S:1:pos:R:3 comment="PBE B2Ir2W, relaxed" e_form_ev_per_atom=0.053 sg="P4/mbm (127)" vol_a3_per_cell=114.8 dft_energy_ev_per_atom=-8.753 pbc="T T T"
B 1.007 2.245 0.000
B 2.245 5.498 0.000
B 4.260 1.007 0.000
B 5.498 4.260 0.000
Ir 0.976 4.228 1.356
Ir 2.277 0.976 1.356
Ir 4.228 5.529 1.356
Ir 5.529 2.277 1.356
W 0.000 0.000 0.000
W 3.253 3.253 0.000

=====

10
Lattice="9.348 0.000 0.000 0.000 9.348 0.000 0.000 0.000 5.241" Properties=species:S:1:pos:R:3 comment="PBE Cs2Si2Hg, relaxed" sg="P4/mbm (127)" vol_a3_per_cell=457.9 dft_energy_ev_per_atom=-2.417 raw_formation_energy_ev_per_atom=0.154 pbc="T T T"
Cs 1.892 2.782 0.000
Cs 2.782 7.456 0.000
Cs 6.565 1.892 0.000
Cs 7.456 6.565 0.000
Si 0.760 5.434 2.620
Si 3.914 0.760 2.620
Si 5.434 8.588 2.620
Si 8.588 3.914 2.620
Hg 0.000 0.000 2.620
Hg 4.674 4.674 2.620

=====

16
Lattice="5.145 0.000 0.000 0.000 5.145 0.000 0.000 0.000 10.392" Properties=species:S:1:pos:R:3 comment="PBE BOs2W, relaxed" e_form_ev_per_atom=0.868 sg="I-42d (122)" vol_a3_per_cell=275.1 dft_energy_ev_per_atom=-9.654 pbc="T T T"
B 0.000 0.000 0.000
B 0.000 2.573 2.598
B 2.573 0.000 7.794
B 2.573 2.573 5.196
Os 0.911 1.286 1.299
Os 1.286 3.483 3.897
Os 1.286 4.234 9.093
Os 1.662 1.286 6.495
Os 3.483 3.859 6.495
Os 3.859 0.911 9.093
Os 3.859 1.662 3.897
Os 4.234 3.859 1.299
W 0.000 0.000 5.196
W 0.000 2.573 7.794
W 2.573 0.000 2.598
W 2.573 2.573 0.000

=====

19
Lattice="5.932 3.425 4.365 -5.932 3.425 4.365 0.000 -6.850 4.365" Properties=species:S:1:pos:R:3 comment="PBE Er12NiHg6, relaxed" e_form_ev_per_atom=-0.233 sg="R-3 (148)" vol_a3_per_cell=532.2 dft_energy_ev_per_atom=-3.514 pbc="T T T"
Er -5.227 -1.503 7.289
Er -1.312 -5.278 5.807
Er -1.288 -1.614 4.952
Er -3.915 3.775 5.807
Er -0.754 1.923 4.952
Er -2.042 0.309 8.144
Er 2.042 -0.309 4.952
Er 0.754 -1.923 8.144
Er 3.915 -3.775 7.289
Er 1.288 1.614 8.144
Er 1.312 5.278 7.289
Er 5.227 1.503 5.807
Ni 0.000 0.000 6.548
Hg -3.660 0.619 5.531
Hg -2.366 -2.860 7.565
Hg 1.294 -3.479 5.531
Hg -1.294 3.479 7.565
Hg 2.366 2.860 5.531
Hg 3.660 -0.619 7.565

=====

4
Lattice="2.903 0.000 0.000 0.000 2.903 0.000 0.000 0.000 5.368" Properties=species:S:1:pos:R:3 comment="PBE Be2ZnRu, relaxed" e_form_ev_per_atom=-0.011 sg="P4mm (99)" vol_a3_per_cell=45.2 dft_energy_ev_per_atom=-4.511 pbc="T T T"
Be 0.000 0.000 0.000
Be 1.452 1.452 1.182
Zn 1.452 1.452 3.950
Ru 0.000 0.000 2.297